MnRuRh2 after structural relaxation, computed with PBE-GGA.

M_tot   0.6935 μB/atom
Total energy   -33.26 eV/cell
ΔE_f   -0.028 eV/atom

Geometry as CIF:
```
data_MnRuRh2
_cell_length_a 2.7319
_cell_length_b 3.7712
_cell_length_c 5.3810
_cell_angle_alpha 90.00
_cell_angle_beta 90.00
_cell_angle_gamma 90.00
_space_group_name_H-M_alt 'P m m m'
_space_group_IT_number 47
_space_group_name_Hall '-P 2 2'
loop_
_atom_site_label
_atom_site_type_symbol
_atom_site_fract_x
_atom_site_fract_y
_atom_site_fract_z
_atom_site_occupancy
Mn1 Mn 0.0000 0.0000 0.0000 1
Ru1 Ru 0.0000 0.0000 0.5000 1
Rh1 Rh 0.5000 0.5000 0.2503 1
```


Mn2RuRh after structural relaxation, computed with PBE-GGA.

M_tot   0.0393 μB/atom
Total energy   -103.47 eV/cell
ΔE_f   0.119 eV/atom

Geometry as CIF:
```
data_Mn2RuRh
_cell_length_a 2.6626
_cell_length_b 2.6626
_cell_length_c 25.4192
_cell_angle_alpha 90.00
_cell_angle_beta 90.00
_cell_angle_gamma 120.00
_space_group_name_H-M_alt 'R 3 m'
_space_group_IT_number 160
_space_group_name_Hall 'R 3 -2"'
loop_
_atom_site_label
_atom_site_type_symbol
_atom_site_fract_x
_atom_site_fract_y
_atom_site_fract_z
_atom_site_occupancy
Mn1 Mn 0.0000 0.0000 0.0000 1
Mn2 Mn 0.0000 0.0000 0.2552 1
Ru1 Ru 0.0000 0.0000 0.5064 1
Rh1 Rh 0.0000 0.0000 0.7502 1
```


Mn2RuRh after structural relaxation, computed with PBE-GGA.

M_tot   1.2477 μB/atom
Total energy   -67.71 eV/cell
ΔE_f   0.278 eV/atom

Geometry as CIF:
```
data_Mn2RuRh
_cell_length_a 2.7406
_cell_length_b 4.4924
_cell_length_c 8.6965
_cell_angle_alpha 90.00
_cell_angle_beta 90.00
_cell_angle_gamma 90.00
_space_group_name_H-M_alt 'C m m 2'
_space_group_IT_number 35
_space_group_name_Hall 'C 2 -2'
loop_
_atom_site_label
_atom_site_type_symbol
_atom_site_fract_x
_atom_site_fract_y
_atom_site_fract_z
_atom_site_occupancy
Mn1 Mn 0.0000 0.0000 0.0000 1
Mn2 Mn 0.0000 0.5000 0.2371 1
Ru1 Ru 0.0000 0.5000 0.7598 1
Rh1 Rh 0.0000 0.0000 0.4840 1
```


Mn2RuRh after structural relaxation, computed with PBE-GGA.

M_tot   1.0049 μB/atom
Total energy   -69.52 eV/cell
ΔE_f   0.051 eV/atom

Geometry as CIF:
```
data_Mn2RuRh
_cell_length_a 3.6840
_cell_length_b 3.6840
_cell_length_c 7.7221
_cell_angle_alpha 90.00
_cell_angle_beta 90.00
_cell_angle_gamma 90.00
_space_group_name_H-M_alt 'I -4 m 2'
_space_group_IT_number 119
_space_group_name_Hall 'I -4 -2'
loop_
_atom_site_label
_atom_site_type_symbol
_atom_site_fract_x
_atom_site_fract_y
_atom_site_fract_z
_atom_site_occupancy
Mn1 Mn 0.0000 0.0000 0.0000 1
Mn2 Mn 0.0000 0.5000 0.2500 1
Ru1 Ru 0.0000 0.0000 0.5000 1
Rh1 Rh 0.0000 0.5000 0.7500 1
```


Mn2RuRh after structural relaxation, computed with PBE-GGA.

M_tot   0.2327 μB/atom
Total energy   -34.79 eV/cell
ΔE_f   0.043 eV/atom

Geometry as CIF:
```
data_Mn2RuRh
_cell_length_a 2.6502
_cell_length_b 2.6502
_cell_length_c 7.3724
_cell_angle_alpha 90.00
_cell_angle_beta 90.00
_cell_angle_gamma 90.00
_space_group_name_H-M_alt 'P 4 m m'
_space_group_IT_number 99
_space_group_name_Hall 'P 4 -2'
loop_
_atom_site_label
_atom_site_type_symbol
_atom_site_fract_x
_atom_site_fract_y
_atom_site_fract_z
_atom_site_occupancy
Mn1 Mn 0.0000 0.0000 0.0000 1
Mn2 Mn 0.5000 0.5000 0.2337 1
Ru1 Ru 0.5000 0.5000 0.7563 1
Rh1 Rh 0.0000 0.0000 0.4896 1
```


MnRuRh2 after structural relaxation, computed with PBE-GGA.

M_tot   0.3363 μB/atom
Total energy   -33.08 eV/cell
ΔE_f   0.018 eV/atom

Geometry as CIF:
```
data_MnRuRh2
_cell_length_a 2.6786
_cell_length_b 2.6786
_cell_length_c 7.5022
_cell_angle_alpha 90.00
_cell_angle_beta 90.00
_cell_angle_gamma 90.00
_space_group_name_H-M_alt 'P 4 m m'
_space_group_IT_number 99
_space_group_name_Hall 'P 4 -2'
loop_
_atom_site_label
_atom_site_type_symbol
_atom_site_fract_x
_atom_site_fract_y
_atom_site_fract_z
_atom_site_occupancy
Mn1 Mn 0.0000 0.0000 0.0000 1
Ru1 Ru 0.5000 0.5000 0.7608 1
Rh1 Rh 0.0000 0.0000 0.5058 1
Rh2 Rh 0.5000 0.5000 0.2368 1
```


MnRuRh2 after structural relaxation, computed with PBE-GGA.

M_tot   0.7365 μB/atom
Total energy   -66.44 eV/cell
ΔE_f   -0.018 eV/atom

Geometry as CIF:
```
data_MnRuRh2
_cell_length_a 8.9094
_cell_length_b 2.7263
_cell_length_c 4.6483
_cell_angle_alpha 90.00
_cell_angle_beta 100.85
_cell_angle_gamma 90.00
_space_group_name_H-M_alt 'C 1 m 1'
_space_group_IT_number 8
_space_group_name_Hall 'C -2y'
loop_
_atom_site_label
_atom_site_type_symbol
_atom_site_fract_x
_atom_site_fract_y
_atom_site_fract_z
_atom_site_occupancy
Mn1 Mn 0.0000 0.0000 0.0000 1
Ru1 Ru 0.2533 0.0000 0.7395 1
Rh1 Rh 0.0024 0.5000 0.5081 1
Rh2 Rh 0.2475 0.5000 0.2368 1
```


Mn2RuRh after structural relaxation, computed with PBE-GGA.

M_tot   1.8030 μB/atom
Total energy   -35.25 eV/cell
ΔE_f   -0.072 eV/atom

Geometry as CIF:
```
data_Mn2RuRh
_cell_length_a 3.0199
_cell_length_b 3.0199
_cell_length_c 6.0269
_cell_angle_alpha 90.00
_cell_angle_beta 90.00
_cell_angle_gamma 90.00
_space_group_name_H-M_alt 'P 4/m m m'
_space_group_IT_number 123
_space_group_name_Hall '-P 4 2'
loop_
_atom_site_label
_atom_site_type_symbol
_atom_site_fract_x
_atom_site_fract_y
_atom_site_fract_z
_atom_site_occupancy
Mn1 Mn 0.0000 0.0000 0.2474 1
Ru1 Ru 0.5000 0.5000 0.0000 1
Rh1 Rh 0.5000 0.5000 0.5000 1
```


Mn2RuRh after structural relaxation, computed with PBE-GGA.

M_tot   1.7954 μB/atom
Total energy   -135.58 eV/cell
ΔE_f   0.268 eV/atom

Geometry as CIF:
```
data_Mn2RuRh
_cell_length_a 6.0429
_cell_length_b 6.0429
_cell_length_c 6.0429
_cell_angle_alpha 90.00
_cell_angle_beta 90.00
_cell_angle_gamma 90.00
_space_group_name_H-M_alt 'F -4 3 m'
_space_group_IT_number 216
_space_group_name_Hall 'F -4 2 3'
loop_
_atom_site_label
_atom_site_type_symbol
_atom_site_fract_x
_atom_site_fract_y
_atom_site_fract_z
_atom_site_occupancy
Mn1 Mn 0.0000 0.0000 0.0000 1
Mn2 Mn 0.2500 0.2500 0.2500 1
Ru1 Ru 0.0000 0.0000 0.5000 1
Rh1 Rh 0.2500 0.2500 0.7500 1
```


MnRuRh2 after structural relaxation, computed with PBE-GGA.

M_tot   0.6639 μB/atom
Total energy   -66.66 eV/cell
ΔE_f   -0.045 eV/atom

Geometry as CIF:
```
data_MnRuRh2
_cell_length_a 3.7974
_cell_length_b 3.7974
_cell_length_c 7.6319
_cell_angle_alpha 90.00
_cell_angle_beta 90.00
_cell_angle_gamma 90.00
_space_group_name_H-M_alt 'I 4/m m m'
_space_group_IT_number 139
_space_group_name_Hall '-I 4 2'
loop_
_atom_site_label
_atom_site_type_symbol
_atom_site_fract_x
_atom_site_fract_y
_atom_site_fract_z
_atom_site_occupancy
Mn1 Mn 0.0000 0.0000 0.0000 1
Ru1 Ru 0.0000 0.0000 0.5000 1
Rh1 Rh 0.0000 0.5000 0.2500 1
```


Mn2RuRh after structural relaxation, computed with PBE-GGA.

M_tot   0.5468 μB/atom
Total energy   -69.60 eV/cell
ΔE_f   0.042 eV/atom

Geometry as CIF:
```
data_Mn2RuRh
_cell_length_a 3.7459
_cell_length_b 3.7459
_cell_length_c 7.2489
_cell_angle_alpha 90.00
_cell_angle_beta 90.00
_cell_angle_gamma 90.00
_space_group_name_H-M_alt 'I 4/m m m'
_space_group_IT_number 139
_space_group_name_Hall '-I 4 2'
loop_
_atom_site_label
_atom_site_type_symbol
_atom_site_fract_x
_atom_site_fract_y
_atom_site_fract_z
_atom_site_occupancy
Mn1 Mn 0.0000 0.5000 0.2500 1
Ru1 Ru 0.0000 0.0000 0.0000 1
Rh1 Rh 0.0000 0.0000 0.5000 1
```


TaMnRu2Rh after structural relaxation, computed with PBE-GGA.

M_tot   0.0000 μB/atom
Total energy   -41.97 eV/cell
ΔE_f   0.991 eV/atom

Geometry as CIF:
```
data_TaMnRu2Rh
_cell_length_a 4.3116
_cell_length_b 4.3116
_cell_length_c 4.5535
_cell_angle_alpha 90.00
_cell_angle_beta 90.00
_cell_angle_gamma 90.00
_space_group_name_H-M_alt 'P 4/m m m'
_space_group_IT_number 123
_space_group_name_Hall '-P 4 2'
loop_
_atom_site_label
_atom_site_type_symbol
_atom_site_fract_x
_atom_site_fract_y
_atom_site_fract_z
_atom_site_occupancy
Ta1 Ta 0.0000 0.0000 0.0000 1
Mn1 Mn 0.0000 0.0000 0.5000 1
Ru1 Ru 0.0000 0.5000 0.5000 1
Rh1 Rh 0.5000 0.5000 0.0000 1
```


MnTcRuRh after structural relaxation, computed with PBE-GGA.

M_tot   0.7243 μB/atom
Total energy   -141.28 eV/cell
ΔE_f   0.211 eV/atom

Geometry as CIF:
```
data_MnTcRuRh
_cell_length_a 6.1301
_cell_length_b 6.1301
_cell_length_c 6.1301
_cell_angle_alpha 90.00
_cell_angle_beta 90.00
_cell_angle_gamma 90.00
_space_group_name_H-M_alt 'F -4 3 m'
_space_group_IT_number 216
_space_group_name_Hall 'F -4 2 3'
loop_
_atom_site_label
_atom_site_type_symbol
_atom_site_fract_x
_atom_site_fract_y
_atom_site_fract_z
_atom_site_occupancy
Mn1 Mn 0.0000 0.0000 0.0000 1
Tc1 Tc 0.0000 0.0000 0.5000 1
Ru1 Ru 0.2500 0.2500 0.2500 1
Rh1 Rh 0.2500 0.2500 0.7500 1
```


Volume? In order: 55.4 52.0 53.5 52.4 51.8 53.8 55.4 55.0 55.2 55.0 50.9 84.6 57.6 Å³/f.u..